[1]
A plane-wave DFT calculation with PBE was carried out for a relaxed AcPrCu crystal. Values from VASP.

Summary:
Its density of states at the Fermi level is 4.39 states/eV/f.u. The space-group type is P3m1, No. 156. The formation energy comes out at 8 kJ per mole of atoms.

Geometry as Quantum ESPRESSO input:
```
&SYSTEM
  ibrav = 0, nat = 3, ntyp = 3
/
ATOMIC_SPECIES
Ac 227.00 Ac.upf
Pr 140.91 Pr.upf
Cu 63.55 Cu.upf
CELL_PARAMETERS angstrom
4.595 0.000 0.000
0.000 4.871 0.000
0.000 -2.436 4.219
ATOMIC_POSITIONS crystal
Ac 0.334 0.333 0.667
Pr 0.834 0.667 0.333
Cu 0.832 0.000 0.000
```


[2]
A plane-wave DFT calculation with PBE was carried out for a relaxed AcPr4Cu4 crystal. Values from VASP.

Summary:
Its density of states at the Fermi level is 10.37 states/eV/f.u. The space-group type is P4_2/n, No. 86. The formation energy comes out at 0 kJ per mole of atoms.

Geometry as Quantum ESPRESSO input:
```
&SYSTEM
  ibrav = 0, nat = 18, ntyp = 3
/
ATOMIC_SPECIES
Cu 63.55 Cu.upf
Pr 140.91 Pr.upf
Ac 227.00 Ac.upf
CELL_PARAMETERS angstrom
5.876 0.000 0.000
0.000 9.379 0.000
0.000 0.000 9.379
ATOMIC_POSITIONS crystal
Cu 0.883 0.280 0.850
Cu 0.617 0.220 0.650
Cu 0.117 0.150 0.280
Cu 0.617 0.780 0.350
Cu 0.383 0.350 0.220
Cu 0.883 0.720 0.150
Cu 0.383 0.650 0.780
Cu 0.117 0.850 0.720
Pr 0.399 0.669 0.092
Pr 0.601 0.908 0.669
Pr 0.101 0.831 0.408
Pr 0.601 0.092 0.331
Pr 0.101 0.169 0.592
Pr 0.899 0.592 0.831
Pr 0.399 0.331 0.908
Pr 0.899 0.408 0.169
Ac 0.500 0.500 0.500
Ac 0.000 0.000 0.000
```


[3]
A plane-wave DFT calculation with PBE was carried out for a relaxed AcPrCu crystal. Values from VASP.

Summary:
Its density of states at the Fermi level is 3.25 states/eV/f.u. The space-group type is C2/m, No. 12. The formation energy comes out at -7 kJ per mole of atoms.

Geometry as Quantum ESPRESSO input:
```
&SYSTEM
  ibrav = 0, nat = 6, ntyp = 3
/
ATOMIC_SPECIES
Ac 227.00 Ac.upf
Pr 140.91 Pr.upf
Cu 63.55 Cu.upf
CELL_PARAMETERS angstrom
3.801 0.000 1.333
1.489 7.085 1.839
-0.256 0.141 6.816
ATOMIC_POSITIONS crystal
Ac 0.589 0.623 0.199
Ac 0.411 0.377 0.801
Pr 0.835 0.069 0.260
Pr 0.165 0.931 0.740
Cu 0.877 0.676 0.570
Cu 0.123 0.324 0.430
```


[4]
A plane-wave DFT calculation with PBE was carried out for a relaxed AcPrCu3 crystal. Values from VASP.

Summary:
Its density of states at the Fermi level is 3.74 states/eV/f.u. The space-group type is Cmcm, No. 63. The formation energy comes out at -18 kJ per mole of atoms.

Geometry as Quantum ESPRESSO input:
```
&SYSTEM
  ibrav = 0, nat = 10, ntyp = 3
/
ATOMIC_SPECIES
Cu 63.55 Cu.upf
Pr 140.91 Pr.upf
Ac 227.00 Ac.upf
CELL_PARAMETERS angstrom
-3.531 -2.692 -0.047
0.499 -0.586 -3.959
7.520 -9.940 4.475
ATOMIC_POSITIONS crystal
Cu 0.750 0.524 0.048
Cu 0.250 0.672 0.344
Cu 0.250 0.476 0.952
Cu 0.750 0.621 0.241
Cu 0.750 0.328 0.656
Cu 0.250 0.379 0.759
Pr 0.750 0.205 0.410
Pr 0.250 0.795 0.590
Ac 0.250 0.072 0.144
Ac 0.750 0.928 0.856
```


[5]
A plane-wave DFT calculation with PBE was carried out for a relaxed AcPrCu2 crystal. Values from VASP.

Summary:
Its density of states at the Fermi level is 2.96 states/eV/f.u. The space-group type is P4/mmm, No. 123. The formation energy comes out at -10 kJ per mole of atoms.

Geometry as Quantum ESPRESSO input:
```
&SYSTEM
  ibrav = 0, nat = 4, ntyp = 3
/
ATOMIC_SPECIES
Ac 227.00 Ac.upf
Cu 63.55 Cu.upf
Pr 140.91 Pr.upf
CELL_PARAMETERS angstrom
3.719 0.000 0.000
0.000 3.719 0.000
0.000 0.000 7.366
ATOMIC_POSITIONS crystal
Ac 0.500 0.500 0.500
Cu 0.000 0.000 0.227
Cu 0.000 0.000 0.773
Pr 0.500 0.500 0.000
```


[6]
A plane-wave DFT calculation with PBE was carried out for a relaxed AcPrCu2 crystal. Values from VASP.

Summary:
Its density of states at the Fermi level is 2.56 states/eV/f.u. The space-group type is Fm-3m, No. 225. The formation energy comes out at -8 kJ per mole of atoms.

Geometry as Quantum ESPRESSO input:
```
&SYSTEM
  ibrav = 0, nat = 4, ntyp = 3
/
ATOMIC_SPECIES
Cu 63.55 Cu.upf
Pr 140.91 Pr.upf
Ac 227.00 Ac.upf
CELL_PARAMETERS angstrom
5.253 0.000 0.000
2.627 4.549 0.000
2.627 1.516 4.289
ATOMIC_POSITIONS crystal
Cu 0.250 0.250 0.250
Cu 0.750 0.750 0.750
Pr 0.500 0.500 0.500
Ac 0.000 0.000 0.000
```


[7]
A plane-wave DFT calculation with PBE was carried out for a relaxed AcPrCu2 crystal. Values from VASP.

Summary:
Its density of states at the Fermi level is 3.76 states/eV/f.u. The space-group type is R-3m, No. 166. The formation energy comes out at 5 kJ per mole of atoms.

Geometry as Quantum ESPRESSO input:
```
&SYSTEM
  ibrav = 0, nat = 4, ntyp = 3
/
ATOMIC_SPECIES
Pr 140.91 Pr.upf
Cu 63.55 Cu.upf
Ac 227.00 Ac.upf
CELL_PARAMETERS angstrom
-1.441 -2.317 3.090
1.335 -3.872 0.469
5.686 0.463 5.750
ATOMIC_POSITIONS crystal
Pr 0.500 0.500 0.500
Cu 0.246 0.246 0.262
Cu 0.754 0.754 0.738
Ac 0.000 0.000 0.000
```


[8]
A plane-wave DFT calculation with PBE was carried out for a relaxed Ac2PrCu2 crystal. Values from VASP.

Summary:
Its density of states at the Fermi level is 6.51 states/eV/f.u. The space-group type is Cmcm, No. 63. The formation energy comes out at 11 kJ per mole of atoms.

Geometry as Quantum ESPRESSO input:
```
&SYSTEM
  ibrav = 0, nat = 10, ntyp = 3
/
ATOMIC_SPECIES
Cu 63.55 Cu.upf
Ac 227.00 Ac.upf
Pr 140.91 Pr.upf
CELL_PARAMETERS angstrom
-3.020 0.799 -5.206
-2.001 -6.489 0.165
-5.294 5.287 3.882
ATOMIC_POSITIONS crystal
Cu 0.250 0.586 0.786
Cu 0.750 0.414 0.214
Cu 0.250 0.200 0.786
Cu 0.750 0.800 0.214
Ac 0.250 0.585 0.171
Ac 0.250 0.220 0.439
Ac 0.750 0.415 0.829
Ac 0.750 0.780 0.561
Pr 0.000 0.000 0.000
Pr 0.500 0.000 0.000
```


[9]
A plane-wave DFT calculation with PBE was carried out for a relaxed Ac2Pr3Cu4 crystal. Values from VASP.

Summary:
Its density of states at the Fermi level is 9.52 states/eV/f.u. The space-group type is P2_1/c, No. 14. The formation energy comes out at -9 kJ per mole of atoms.

Geometry as Quantum ESPRESSO input:
```
&SYSTEM
  ibrav = 0, nat = 18, ntyp = 3
/
ATOMIC_SPECIES
Cu 63.55 Cu.upf
Ac 227.00 Ac.upf
Pr 140.91 Pr.upf
CELL_PARAMETERS angstrom
8.023 0.129 0.000
-2.519 8.209 0.000
0.000 0.000 7.408
ATOMIC_POSITIONS crystal
Cu 0.614 0.922 0.038
Cu 0.886 0.078 0.538
Cu 0.386 0.078 0.962
Cu 0.380 0.502 0.388
Cu 0.114 0.922 0.462
Cu 0.120 0.498 0.888
Cu 0.620 0.498 0.612
Cu 0.880 0.502 0.112
Ac 0.909 0.810 0.833
Ac 0.409 0.810 0.667
Ac 0.091 0.190 0.167
Ac 0.591 0.190 0.333
Pr 0.747 0.232 0.836
Pr 0.253 0.768 0.164
Pr 0.247 0.232 0.664
Pr 0.753 0.768 0.336
Pr 0.000 0.500 0.500
Pr 0.500 0.500 0.000
```


[10]
A plane-wave DFT calculation with PBE was carried out for a relaxed AcPrCu crystal. Values from VASP.

Summary:
Its density of states at the Fermi level is 3.53 states/eV/f.u. The space-group type is I4mm, No. 107. The formation energy comes out at -4 kJ per mole of atoms.

Geometry as Quantum ESPRESSO input:
```
&SYSTEM
  ibrav = 0, nat = 3, ntyp = 3
/
ATOMIC_SPECIES
Ac 227.00 Ac.upf
Pr 140.91 Pr.upf
Cu 63.55 Cu.upf
CELL_PARAMETERS angstrom
-0.730 -1.956 -3.135
1.409 -3.101 1.607
-6.219 1.046 3.059
ATOMIC_POSITIONS crystal
Ac 0.309 0.309 0.618
Pr 0.034 0.034 0.068
Cu 0.657 0.657 0.314
```


[11]
A plane-wave DFT calculation with PBE was carried out for a relaxed AcPr2Cu crystal. Values from VASP.

Summary:
Its density of states at the Fermi level is 5.65 states/eV/f.u. The space-group type is R-3m, No. 166. The formation energy comes out at 6 kJ per mole of atoms.

Geometry as Quantum ESPRESSO input:
```
&SYSTEM
  ibrav = 0, nat = 4, ntyp = 3
/
ATOMIC_SPECIES
Ac 227.00 Ac.upf
Pr 140.91 Pr.upf
Cu 63.55 Cu.upf
CELL_PARAMETERS angstrom
3.857 0.000 0.000
1.928 3.340 0.000
1.928 1.113 10.325
ATOMIC_POSITIONS crystal
Ac 0.500 0.500 0.500
Pr 0.269 0.269 0.194
Pr 0.731 0.731 0.806
Cu 0.000 0.000 0.000
```


[12]
A plane-wave DFT calculation with PBE was carried out for a relaxed AcPr3Cu crystal. Values from VASP.

Summary:
Its density of states at the Fermi level is 6.77 states/eV/f.u. The space-group type is Pm-3m, No. 221. The formation energy comes out at 8 kJ per mole of atoms.

Geometry as Quantum ESPRESSO input:
```
&SYSTEM
  ibrav = 0, nat = 5, ntyp = 3
/
ATOMIC_SPECIES
Pr 140.91 Pr.upf
Ac 227.00 Ac.upf
Cu 63.55 Cu.upf
CELL_PARAMETERS angstrom
-0.440 -2.713 -4.965
-4.855 -2.376 1.729
-2.905 4.381 -2.137
ATOMIC_POSITIONS crystal
Pr 0.000 0.000 0.500
Pr 0.500 0.000 0.000
Pr 0.000 0.500 0.000
Ac 0.500 0.500 0.500
Cu 0.000 0.000 0.000
```